A plane-wave DFT calculation with PBE-GGA was carried out for a relaxed Dy3Zn9Pt2 crystal.

- V: 498.2 Å³/cell
- Total moment: 0.00 μB/f.u.
- Calculated density: 9.78 g cm⁻³
- Formation energy: -7.3 eV per formula unit

```
data_Dy3Zn9Pt2
_chemical_formula_sum 'Dy6 Zn18 Pt4'
_cell_length_a 4.274
_cell_length_b 8.925
_cell_length_c 13.060
_cell_angle_alpha 90.00
_cell_angle_beta 90.00
_cell_angle_gamma 90.00
_symmetry_space_group_name_H-M 'I m m m'
_symmetry_Int_Tables_number 71
_symmetry_space_group_name_Hall '-I 2 2'
loop_
_atom_site_label
_atom_site_type_symbol
_atom_site_fract_x
_atom_site_fract_y
_atom_site_fract_z
_atom_site_occupancy
Dy1 Dy 0.000 0.000 0.000 1
Dy2 Dy 0.000 0.000 0.311 1
Zn1 Zn 0.000 0.279 0.129 1
Zn2 Zn 0.000 0.360 0.326 1
Zn3 Zn 0.000 0.500 0.000 1
Pt1 Pt 0.000 0.210 0.500 1
```


A plane-wave DFT calculation with PBE-GGA was carried out for a relaxed FeAu crystal.

- V: 248.1 Å³/cell
- Total moment: 2.99 μB/f.u.
- Calculated density: 13.54 g cm⁻³
- Formation energy: 0.4 eV per formula unit

```
data_FeAu
_chemical_formula_sum 'Fe8 Au8'
_cell_length_a 7.801
_cell_length_b 6.453
_cell_length_c 4.928
_cell_angle_alpha 90.00
_cell_angle_beta 90.00
_cell_angle_gamma 90.00
_symmetry_space_group_name_H-M 'C m c m'
_symmetry_Int_Tables_number 63
_symmetry_space_group_name_Hall '-C 2c 2'
loop_
_atom_site_label
_atom_site_type_symbol
_atom_site_fract_x
_atom_site_fract_y
_atom_site_fract_z
_atom_site_occupancy
Fe1 Fe 0.000 0.000 0.000 1
Fe2 Fe 0.000 0.331 0.250 1
Au1 Au 0.182 0.319 0.750 1
```


A plane-wave DFT calculation with PBE-GGA was carried out for a relaxed Ho4Mg2H crystal.

- V: 362.5 Å³/cell
- Total moment: 0.00 μB/f.u.
- Calculated density: 6.50 g cm⁻³

```
data_Ho4Mg2H
_chemical_formula_sum 'Ho8 Mg4 H2'
_cell_length_a 4.765
_cell_length_b 4.765
_cell_length_c 15.968
_cell_angle_alpha 90.00
_cell_angle_beta 90.00
_cell_angle_gamma 90.00
_symmetry_space_group_name_H-M 'I 4/m m m'
_symmetry_Int_Tables_number 139
_symmetry_space_group_name_Hall '-I 4 2'
loop_
_atom_site_label
_atom_site_type_symbol
_atom_site_fract_x
_atom_site_fract_y
_atom_site_fract_z
_atom_site_occupancy
Ho1 Ho 0.000 0.000 0.163 1
Ho2 Ho 0.000 0.500 0.000 1
Mg1 Mg 0.000 0.000 0.364 1
H1 H 0.000 0.000 0.000 1
```


Total DFT energy (no corrections) in eV per atom, matching the order above: -3.19 -5.69 -3.51